Entry from the Alexandria database: a relaxed structure of CsNpO2 (PBE-GGA).

Lattice parameters (Å, degrees): 3.6333 3.6333 20.7929 90.00 90.00 120.00
Space group R-3m (No. 166, hexagonal axes)
Symmetry-distinct sites (fractional):
Cs: 0.0000 0.0000 0.0000 (multiplicity 3)
Np: 0.0000 0.0000 0.5000 (multiplicity 3)
O: 0.0000 0.0000 0.2184 (multiplicity 6)

Values from the calculation:
- energy (eV per atom) = -8.079
- formation energy from raw total energies (meV/atom) = -2151

***

Entry from the Alexandria database: a relaxed structure of AlZn2ReBr (PBE-GGA).

Lattice parameters (Å, degrees): 5.0547 5.0547 4.7382 90.00 90.00 90.00
Space group P4/mmm (No. 123)
Symmetry-distinct sites (fractional):
Al: 0.0000 0.0000 0.0000 (multiplicity 1)
Zn: 0.0000 0.5000 0.5000 (multiplicity 2)
Re: 0.5000 0.5000 0.5000 (multiplicity 1)
Br: 0.5000 0.5000 0.0000 (multiplicity 1)

Values from the calculation:
- energy (eV per atom) = -3.192
- formation energy from raw total energies (meV/atom) = 890

***

Entry from the Alexandria database: a relaxed structure of SbPdRh (PBE-GGA).

Lattice parameters (Å, degrees): 3.5129 3.5129 8.3373 90.00 90.00 90.00
Space group I4mm (No. 107)
Symmetry-distinct sites (fractional):
Sb: 0.0000 0.0000 0.0000 (multiplicity 2)
Pd: 0.0000 0.0000 0.3296 (multiplicity 2)
Rh: 0.0000 0.0000 0.6624 (multiplicity 2)

Values from the calculation:
- energy (eV per atom) = -5.756
- formation energy from raw total energies (meV/atom) = -201

***

Entry from the Alexandria database: a relaxed structure of Tb2Pm6Sc (PBE-GGA).

Lattice parameters (Å, degrees): 10.0463 7.2049 8.6100 90.00 107.05 90.00
Space group C2/m (No. 12)
Symmetry-distinct sites (fractional):
Tb: 0.2249 0.0000 0.4607 (multiplicity 4)
Pm: 0.0567 0.2612 0.7089 (multiplicity 8)
Pm: 0.1686 0.5000 0.0880 (multiplicity 4)
Sc: 0.0000 0.0000 0.0000 (multiplicity 2)

Values from the calculation:
- energy (eV per atom) = -4.740